# DyZr3C2S2

A relaxed structure of DyZr3C2S2 (PBE-GGA, OQMD via LeMat-Bulk).

Summary:
Total energy, eV/atom: -8.420

```
data_DyZr3C2S2
_cell_length_a 3.4818
_cell_length_b 3.4818
_cell_length_c 12.4658
_cell_angle_alpha 90.00
_cell_angle_beta 90.00
_cell_angle_gamma 120.00
_symmetry_space_group_name_H-M 'P 3 m 1'
_symmetry_Int_Tables_number 156
loop_
_symmetry_equiv_pos_as_xyz
'x,y,z'
'-y,x-y,z'
'-x+y,-x,z'
'-y,-x,z'
'-x+y,y,z'
'x,x-y,z'
loop_
_atom_site_label
_atom_site_fract_x
_atom_site_fract_y
_atom_site_fract_z
_atom_site_occupancy
Dy1 0.0000 0.0000 0.0000 1
Zr1 0.0000 0.0000 0.6987 1
Zr2 0.3333 0.6667 0.2098 1
Zr3 0.3333 0.6667 0.5023 1
C1 0.6667 0.3333 0.1153 1
C2 0.6667 0.3333 0.6003 1
S1 0.0000 0.0000 0.3565 1
S2 0.3333 0.6667 0.8413 1
```

---

# DySb3C6

A relaxed structure of DySb3C6 (PBE-GGA, OQMD via LeMat-Bulk).

Summary:
Total energy, eV/atom: -5.808

```
data_DySb3C6
_cell_length_a 6.014
_cell_length_b 6.014
_cell_length_c 9.643
_cell_angle_alpha 90.00
_cell_angle_beta 90.00
_cell_angle_gamma 90.00
_symmetry_space_group_name_H-M 'I 4/m m m'
_symmetry_Int_Tables_number 139
_symmetry_space_group_name_Hall '-I 4 2'
loop_
_atom_site_label
_atom_site_fract_x
_atom_site_fract_y
_atom_site_fract_z
_atom_site_occupancy
Dy1 0.000 0.000 0.000 1
Sb1 0.000 0.000 0.500 1
Sb2 0.000 0.500 0.250 1
C1 0.000 0.000 0.278 1
C2 0.000 0.393 0.000 1
```

---

# Dy4TlSbC2

A relaxed structure of Dy4TlSbC2 (PBE-GGA, OQMD via LeMat-Bulk).

Summary:
Total energy, eV/atom: -5.924

```
data_Dy4TlSbC2
_cell_length_a 3.6258
_cell_length_b 3.6258
_cell_length_c 15.8119
_cell_angle_alpha 90.00
_cell_angle_beta 90.00
_cell_angle_gamma 120.00
_symmetry_space_group_name_H-M 'P -6 m 2'
_symmetry_Int_Tables_number 187
_symmetry_space_group_name_Hall 'P -6 2'
loop_
_atom_site_label
_atom_site_fract_x
_atom_site_fract_y
_atom_site_fract_z
_atom_site_occupancy
Dy1 0.0000 0.0000 0.1592 1
Dy2 0.6667 0.3333 0.3295 1
Tl1 0.0000 0.0000 0.5000 1
Sb1 0.6667 0.3333 0.0000 1
C1 0.3333 0.6667 0.2425 1
```

---

# DyTm4SbC2

A relaxed structure of DyTm4SbC2 (PBE-GGA, OQMD via LeMat-Bulk).

Summary:
Total energy, eV/atom: -6.070

```
data_DyTm4SbC2
_cell_length_a 3.5567
_cell_length_b 3.5567
_cell_length_c 16.5062
_cell_angle_alpha 90.00
_cell_angle_beta 90.00
_cell_angle_gamma 120.00
_symmetry_space_group_name_H-M 'P -6 m 2'
_symmetry_Int_Tables_number 187
_symmetry_space_group_name_Hall 'P -6 2'
loop_
_atom_site_label
_atom_site_fract_x
_atom_site_fract_y
_atom_site_fract_z
_atom_site_occupancy
Dy1 0.0000 0.0000 0.0000 1
Tm1 0.0000 0.0000 0.3492 1
Tm2 0.6667 0.3333 0.1900 1
Sb1 0.6667 0.3333 0.5000 1
C1 0.3333 0.6667 0.2705 1
```

---

Number 1: V 16.36 A^3/atom. Number 2: V 17.44 A^3/atom. Number 3: V 22.50 A^3/atom. Number 4: V 22.60 A^3/atom.